# OsRhW4

An optimized crystal structure of OsRhW4 (PBE-GGA, Alexandria).

Summary:
Total DFT energy (no corrections) ... -11.299 eV per atom
Calculated density ... 17.44 g/cm³
ΔH_f (0 K) ... 0.4330 eV/atom

Structure (POSCAR):
```
OsRhW4
1.0
0.000 3.658 3.658
3.658 0.000 3.658
3.658 3.658 0.000
W Os Rh
4 1 1
direct
0.375 0.375 0.876 W
0.876 0.375 0.375 W
0.375 0.876 0.375 W
0.375 0.375 0.375 W
0.750 0.750 0.750 Os
0.000 0.000 0.000 Rh
```